# 1
Density functional theory data (PBE) for MgNbAu2 after structural relaxation.

Cell lengths 4.969, 4.969, 2.940 Å; angles 90.00, 90.00, 90.00 degrees
Fractional positions:
Mg: 0.000 0.000 0.000
Nb: 0.500 0.500 0.000
Au: 0.000 0.500 0.500
Au: 0.500 0.000 0.500

## Properties
**SG**: P4/mmm
**Calculated formation energy**: -0.2342 eV/atom
**E**: -4.79 eV per atom

# 2
Density functional theory data (PBE) for K3AuCl2 after structural relaxation.

Cell lengths 10.333, 10.333, 10.333 Å; angles 154.17, 154.17, 36.85 degrees
Fractional positions:
K: 0.000 0.000 0.000
K: 0.328 0.328 0.000
K: 0.672 0.672 0.000
Au: 0.500 0.500 0.000
Cl: 0.167 0.167 0.000
Cl: 0.833 0.833 0.000

## Properties
**SG**: I4/mmm
**E**: -3.08 eV per atom

# 3
Density functional theory data (PBE) for Nb2Br3 after structural relaxation.

Cell lengths 10.856, 10.856, 3.411 Å; angles 93.17, 93.17, 138.93 degrees
Fractional positions:
Nb: 0.070 0.930 0.500
Nb: 0.173 0.836 0.041
Nb: 0.836 0.173 0.541
Nb: 0.930 0.070 0.000
Br: 0.195 0.362 0.595
Br: 0.362 0.195 0.095
Br: 0.466 0.972 0.567
Br: 0.646 0.807 0.396
Br: 0.807 0.646 0.896
Br: 0.972 0.466 0.067

## Properties
**SG**: Cc
**E**: -5.46 eV per atom

# 4
Density functional theory data (PBE) for PaTiZn2 after structural relaxation.

Cell lengths 4.789, 4.789, 4.789 Å; angles 60.00, 60.00, 60.00 degrees
Fractional positions:
Pa: 0.000 0.000 0.000
Ti: 0.500 0.500 0.500
Zn: 0.250 0.250 0.250
Zn: 0.750 0.750 0.750

## Properties
**Distance to the lowest polymorph of the same formula**: 0.63 eV per formula unit
**SG**: Fm-3m
**Calculated formation energy**: 0.0638 eV/atom
**E**: -4.92 eV per atom

# 5
Density functional theory data (PBE) for Na3Ce2US6 after structural relaxation.

Cell lengths 7.056, 7.056, 7.099 Å; angles 99.55, 99.55, 120.00 degrees
Fractional positions:
Na: 0.000 0.000 0.000
Na: 0.333 0.667 0.000
Na: 0.667 0.333 0.000
Ce: 0.167 0.833 0.500
Ce: 0.833 0.167 0.500
U: 0.500 0.500 0.500
S: 0.097 0.422 0.268
S: 0.252 0.252 0.731
S: 0.422 0.097 0.268
S: 0.578 0.903 0.732
S: 0.748 0.748 0.269
S: 0.903 0.578 0.732

## Properties
**SG**: C2/m
**E**: -5.93 eV per atom

# 6
Density functional theory data (PBE) for Zr4ScCu after structural relaxation.

Cell lengths 5.787, 5.787, 5.787 Å; angles 60.00, 60.00, 60.00 degrees
Fractional positions:
Zr: 0.376 0.376 0.376
Zr: 0.376 0.376 0.871
Zr: 0.376 0.871 0.376
Zr: 0.871 0.376 0.376
Sc: 0.750 0.750 0.750
Cu: 0.000 0.000 0.000

## Properties
**Distance to the lowest polymorph of the same formula**: 2.77 eV per formula unit
**SG**: F-43m
**Calculated formation energy**: 0.4165 eV/atom
**E**: -7.02 eV per atom

# 7
Density functional theory data (PBE) for CeNd2UO8 after structural relaxation.

Cell lengths 3.877, 7.699, 5.540 Å; angles 90.00, 92.13, 90.00 degrees
Fractional positions:
Ce: 0.000 0.000 0.000
Nd: 0.500 0.251 0.500
Nd: 0.500 0.749 0.500
U: 0.000 0.500 0.000
O: 0.016 0.271 0.769
O: 0.016 0.729 0.769
O: 0.476 0.500 0.223
O: 0.488 0.000 0.241
O: 0.512 0.000 0.759
O: 0.524 0.500 0.777
O: 0.984 0.271 0.231
O: 0.984 0.729 0.231

## Properties
**SG**: P2/m
**E**: -8.91 eV per atom

# 8
Density functional theory data (PBE) for CdAs2H after structural relaxation.

Cell lengths 7.666, 7.666, 7.666 Å; angles 144.17, 144.17, 51.57 degrees
Fractional positions:
Cd: 0.000 0.000 0.000
Cd: 0.750 0.250 0.500
As: 0.257 0.625 0.132
As: 0.375 0.507 0.632
As: 0.493 0.125 0.868
As: 0.875 0.743 0.368
H: 0.250 0.750 0.500
H: 0.500 0.500 0.000

## Properties
**Distance to the lowest polymorph of the same formula**: 0.00 eV per formula unit
**SG**: I-42d
**E**: -3.01 eV per atom

# 9
Density functional theory data (PBE) for Nb4Ge6Ru7 after structural relaxation.

Cell lengths 6.992, 6.992, 6.992 Å; angles 109.47, 109.47, 109.47 degrees
Fractional positions:
Nb: 0.000 0.000 0.500
Nb: 0.000 0.500 0.000
Nb: 0.500 0.000 0.000
Nb: 0.500 0.500 0.500
Ge: 0.000 0.307 0.307
Ge: 0.000 0.693 0.693
Ge: 0.307 0.000 0.307
Ge: 0.307 0.307 0.000
Ge: 0.693 0.000 0.693
Ge: 0.693 0.693 0.000
Ru: 0.000 0.000 0.000
Ru: 0.250 0.500 0.750
Ru: 0.250 0.750 0.500
Ru: 0.500 0.250 0.750
Ru: 0.500 0.750 0.250
Ru: 0.750 0.250 0.500
Ru: 0.750 0.500 0.250

## Properties
**SG**: Im-3m
**Calculated formation energy**: -0.3047 eV/atom
**E**: -8.12 eV per atom

# 10
Density functional theory data (PBE) for RbZrAs2Se after structural relaxation.

Cell lengths 5.258, 5.258, 5.477 Å; angles 90.00, 90.00, 90.00 degrees
Fractional positions:
Rb: 0.000 0.000 0.000
Zr: 0.500 0.500 0.500
As: 0.000 0.500 0.000
As: 0.500 0.000 0.000
Se: 0.000 0.000 0.500

## Properties
**Distance to the lowest polymorph of the same formula**: 9.81 eV per formula unit
**SG**: P4/mmm
**E**: -2.99 eV per atom

# 11
Density functional theory data (PBE) for AlGaGeC2 after structural relaxation.

Cell lengths 3.896, 3.896, 5.289 Å; angles 90.00, 90.00, 90.00 degrees
Fractional positions:
Al: 0.000 0.000 0.000
Ga: 0.000 0.000 0.500
Ge: 0.500 0.500 0.500
C: 0.000 0.500 0.000
C: 0.500 0.000 0.000

## Properties
**SG**: P4/mmm
**Calculated formation energy**: 1.6456 eV/atom
**E**: -4.32 eV per atom

# 12
Density functional theory data (PBE) for SrNdMnSe4 after structural relaxation.

Cell lengths 7.039, 6.428, 8.632 Å; angles 90.00, 107.30, 90.00 degrees
Fractional positions:
Sr: 0.239 0.250 0.437
Sr: 0.761 0.750 0.563
Nd: 0.253 0.250 0.940
Nd: 0.747 0.750 0.060
Mn: 0.262 0.750 0.185
Mn: 0.738 0.250 0.815
Se: 0.074 0.750 0.377
Se: 0.076 0.750 0.902
Se: 0.487 0.510 0.760
Se: 0.487 0.990 0.760
Se: 0.513 0.010 0.240
Se: 0.513 0.490 0.240
Se: 0.924 0.250 0.098
Se: 0.926 0.250 0.623

## Properties
**SG**: P2_1/m
**E**: -5.59 eV per atom

| no. | density (kg/m3) |
| --- | --- |
| 1 | 11693 |
| 2 | 3058 |
| 3 | 5418 |
| 4 | 8762 |
| 5 | 4483 |
| 6 | 5736 |
| 7 | 7983 |
| 8 | 5695 |
| 9 | 9562 |
| 10 | 4446 |
| 11 | 4000 |
| 12 | 5367 |